An optimized crystal structure of Na6Ag2Hg. Source: the Alexandria database, functional PBE.

space group	C2/m
polymorph energy (0 for the lowest one)	0.0810	eV/atom
theoretical density	3.24	g cm⁻³
magnetization	0.0	μB per formula unit
ΔH_f (0 K)	1.1	kJ per mole of atoms

abc: 5.0696 7.2988 8.8698
angles: 114.30 106.72 90.00
Positions (direct):
Na (0.5000, 0.2607, 0.0000)
Na (0.8310, 0.5772, 0.6611)
Na (0.1690, 0.4228, 0.3389)
Na (0.8310, 0.0839, 0.6611)
Na (0.1690, 0.9161, 0.3389)
Na (0.5000, 0.7393, 0.0000)
Ag (0.6669, 0.6673, 0.3345)
Ag (0.3331, 0.3327, 0.6655)
Hg (0.0000, 0.0000, 0.0000)



An optimized crystal structure of Na12AgHg6. Source: the Alexandria database, functional PBE.

space group	R-3
theoretical density	5.02	g cm⁻³
magnetization	0.0	μB per formula unit
ΔH_f (0 K)	-15.5	kJ per mole of atoms

abc: 8.0731 8.0731 8.0731
angles: 87.81 87.81 87.81
Positions (direct):
Hg (0.2577, 0.7303, 0.8911)
Hg (0.7423, 0.2697, 0.1089)
Hg (0.7303, 0.8911, 0.2577)
Hg (0.8911, 0.2577, 0.7303)
Hg (0.2697, 0.1089, 0.7423)
Hg (0.1089, 0.7423, 0.2697)
Na (0.9782, 0.8565, 0.6328)
Na (0.0218, 0.1435, 0.3672)
Na (0.3672, 0.0218, 0.1435)
Na (0.1932, 0.4682, 0.5709)
Na (0.5709, 0.1932, 0.4682)
Na (0.8565, 0.6328, 0.9782)
Na (0.6328, 0.9782, 0.8565)
Na (0.1435, 0.3672, 0.0218)
Na (0.4291, 0.8068, 0.5318)
Na (0.5318, 0.4291, 0.8068)
Na (0.8068, 0.5318, 0.4291)
Na (0.4682, 0.5709, 0.1932)
Ag (0.0000, 0.0000, 0.0000)



An optimized crystal structure of Na6Ag2Hg. Source: the Alexandria database, functional PBE.

space group	Immm
polymorph energy (0 for the lowest one)	0.0000	eV/atom
theoretical density	3.62	g cm⁻³
magnetization	0.0	μB per formula unit
ΔH_f (0 K)	-6.7	kJ per mole of atoms

abc: 8.7434 8.7434 8.7434
angles: 102.20 114.63 111.84
Positions (direct):
Hg (0.0000, 0.0000, 0.0000)
Hg (0.0000, 0.5000, 0.5000)
Na (0.4720, 0.2843, 0.1878)
Na (0.1952, 0.7523, 0.9474)
Na (0.2927, 0.6235, 0.3308)
Na (0.8048, 0.2477, 0.0526)
Na (0.1952, 0.2477, 0.4429)
Na (0.7073, 0.0381, 0.3308)
Na (0.8048, 0.7523, 0.5571)
Na (0.0965, 0.2843, 0.8122)
Na (0.5280, 0.7157, 0.8122)
Na (0.7073, 0.3765, 0.6692)
Na (0.2927, 0.9619, 0.6692)
Na (0.9035, 0.7157, 0.1878)
Ag (0.3436, 0.0000, 0.3436)
Ag (0.5000, 0.3730, 0.8730)
Ag (0.5000, 0.6270, 0.1270)
Ag (0.6564, 0.0000, 0.6564)



An optimized crystal structure of NaAgHg2. Source: the Alexandria database, functional PBE.

space group	P4/mmm
polymorph energy (0 for the lowest one)	0.0067	eV/atom
theoretical density	9.60	g cm⁻³
magnetization	0.0	μB per formula unit
ΔH_f (0 K)	-10.5	kJ per mole of atoms

abc: 3.5731 3.5731 7.2078
angles: 90.00 90.00 90.00
Positions (direct):
Hg (0.0000, 0.0000, 0.2290)
Hg (0.0000, 0.0000, 0.7710)
Ag (0.5000, 0.5000, 0.0000)
Na (0.5000, 0.5000, 0.5000)